1.
Below is a relaxed SrAgPb2 crystal, with properties calculated at the PBE level.

a b c (Å): 8.489 4.920 6.441
angles (deg): 90.00 116.31 90.00
Space group C2/m (No. 12)
Asymmetric unit:
Sr 0.000 0.000 0.000 x2
Ag 0.000 0.500 0.500 x2
Pb 0.224 0.000 0.672 x4

Computed properties:
Energy relative to the elements ... -235 meV/atom

***

2.
Below is a relaxed Sm6GaS5 crystal, with properties calculated at the PBE level.

a b c (Å): 7.047 12.150 7.025
angles (deg): 90.00 109.38 90.00
Space group C2/m (No. 12)
Asymmetric unit:
Sm 0.248 0.000 0.250 x4
Sm 0.249 0.168 0.749 x8
Ga 0.000 0.500 0.000 x2
S 0.000 0.000 0.500 x2
S 0.000 0.167 0.000 x4
S 0.000 0.334 0.500 x4

Computed properties:
Uncorrected formation energy ... -1.79 eV/atom

***

3.
Below is a relaxed MgZnBi crystal, with properties calculated at the PBE level.

a b c (Å): 4.774 4.820 7.392
angles (deg): 88.59 89.43 61.07
Space group P-1 (No. 2)
Asymmetric unit:
Mg 0.171 0.169 0.109 x2
Zn 0.494 0.496 0.830 x2
Bi 0.161 0.171 0.677 x2

Computed properties:
Energy relative to the elements ... -35 meV/atom

***

4.
Below is a relaxed BaCuAg2Bi crystal, with properties calculated at the PBE level.

a b c (Å): 5.357 5.357 6.997
angles (deg): 90.00 90.00 90.00
Space group P4/mmm (No. 123)
Asymmetric unit:
Ba 0.000 0.000 0.000 x1
Cu 0.500 0.500 0.000 x1
Ag 0.000 0.500 0.500 x2
Bi 0.000 0.000 0.500 x1

Computed properties:
Energy relative to the elements ... 380 meV/atom

***

The following total energy values (in eV per atom) correspond, in order, to the records above: -3.22 -6.12 -2.29 -2.74.